1.
{
  "formula": "In2PBr",
  "functional": "PBE",
  "state": "optimized geometry",
  "space_group": "I-4m2, No. 119",
  "dos_ef_per_ev_fu": 2.7,
  "polymorph_energy_mev_per_atom": 340,
  "magmom_total_mub_per_fu": 0.000,
  "formation_energy_uncorrected_ev_per_atom": 0.1174,
  "lattice_angstrom": [[-3.8251, -6.0061, 1.9837], [-0.3053, -6.9714, -2.4384], [4.1548, 5.7598, 2.0497]],
  "species": ["Br", "In", "In", "P"],
  "frac_coords": [[0.7500, 0.2500, 0.5000], [0.0000, 0.0000, 0.0000], [0.2500, 0.7500, 0.5000], [0.5000, 0.5000, 0.0000]]
}

2.
{
  "formula": "InPBr2",
  "functional": "PBE",
  "state": "optimized geometry",
  "space_group": "P4mm, No. 99",
  "dos_ef_per_ev_fu": 2.0,
  "polymorph_energy_mev_per_atom": 556,
  "magmom_total_mub_per_fu": 0.000,
  "formation_energy_uncorrected_ev_per_atom": 0.1613,
  "lattice_angstrom": [[-2.8157, -1.0771, 1.7750], [2.0598, -1.8248, 2.1601], [0.6406, 6.8370, 5.1650]],
  "species": ["Br", "Br", "In", "P"],
  "frac_coords": [[0.0000, 0.0000, 0.9140], [0.5000, 0.5000, 0.3225], [0.0000, 0.0000, 0.5350], [0.5000, 0.5000, 0.7285]]
}